No. 1
# PBE LiOsPb, optimized geometry
data_LiOsPb
_chemical_formula_sum 'Li4 Os4 Pb4'
_symmetry_space_group_name_H-M 'F -4 3 m'
_symmetry_Int_Tables_number 216
_symmetry_space_group_name_Hall 'F -4 2 3'
_cell_length_a 6.308
_cell_length_b 6.308
_cell_length_c 6.308
_cell_angle_alpha 90.00
_cell_angle_beta 90.00
_cell_angle_gamma 90.00
loop_
_atom_site_label
_atom_site_type_symbol
_atom_site_fract_x
_atom_site_fract_y
_atom_site_fract_z
Li1 Li 0.000 0.000 0.000
Os1 Os 0.250 0.250 0.250
Pb1 Pb 0.000 0.000 0.500
# - formation energy (eV/atom) = 0.772
# - ΔE to the lowest computed polymorph (eV per atom) = 0.2665
# - calculated total energy (eV per cell) = -58.145

---

No. 2
# PBE LiOsPb2, optimized geometry
data_LiOsPb2
_chemical_formula_sum 'Li1 Os1 Pb2'
_symmetry_space_group_name_H-M 'P m m m'
_symmetry_Int_Tables_number 47
_cell_length_a 3.497
_cell_length_b 4.353
_cell_length_c 5.460
_cell_angle_alpha 90.00
_cell_angle_beta 90.00
_cell_angle_gamma 90.00
loop_
_symmetry_equiv_pos_as_xyz
'x,y,z'
'-x,-y,-z'
'-x,-y,z'
'x,y,-z'
'x,-y,-z'
'-x,y,z'
'-x,y,-z'
'x,-y,z'
loop_
_atom_site_label
_atom_site_type_symbol
_atom_site_fract_x
_atom_site_fract_y
_atom_site_fract_z
Li1 Li 0.000 0.000 0.000
Os1 Os 0.500 0.000 0.500
Pb1 Pb 0.000 0.500 0.500
Pb2 Pb 0.500 0.500 0.000
# - formation energy (eV/atom) = 0.598
# - ΔE to the lowest computed polymorph (eV per atom) = 0.2436
# - calculated total energy (eV per cell) = -18.170